Arrangement P

A plane-wave DFT calculation with GGA-PBE was carried out for a geometry-optimized LiCuReIr structure.

Summary:
space-group type = F-43m (216)
density = 14.24 g cm⁻³

Structure (POSCAR):
```
LiCuReIr
1.0
0.0000 2.9693 2.9693
2.9693 0.0000 2.9693
2.9693 2.9693 0.0000
Li Cu Re Ir
1 1 1 1
direct
0.0000 0.0000 0.0000
0.7500 0.7500 0.7500
0.2500 0.2500 0.2500
0.5000 0.5000 0.5000
```


Arrangement Q

A plane-wave DFT calculation with GGA-PBE was carried out for a geometry-optimized LiCuReIr structure.

Summary:
space-group type = F-43m (216)
density = 14.76 g cm⁻³

Structure (POSCAR):
```
LiCuReIr
1.0
0.0000 2.9336 2.9336
2.9336 0.0000 2.9336
2.9336 2.9336 0.0000
Li Cu Re Ir
1 1 1 1
direct
0.0000 0.0000 0.0000
0.5000 0.5000 0.5000
0.2500 0.2500 0.2500
0.7500 0.7500 0.7500
```


Which structure above is the least stable one? arrangement Q is the least stable one.